[1]
## Ac2ZnTcGe6 (PBE)

Data for a relaxed structure of Ac2ZnTcGe6.

```
data_Ac2ZnTcGe6
_cell_length_a 12.7699
_cell_length_b 12.7699
_cell_length_c 12.7699
_cell_angle_alpha 29.28
_cell_angle_beta 29.28
_cell_angle_gamma 29.28
_space_group_name_H-M_alt 'P 1'
_space_group_IT_number 1
_space_group_name_Hall 'P 1'
loop_
_atom_site_label
_atom_site_type_symbol
_atom_site_fract_x
_atom_site_fract_y
_atom_site_fract_z
Ac1 Ac 0.1101 0.1101 0.1101
Ac2 Ac 0.2890 0.2890 0.2890
Ac3 Ac 0.7110 0.7110 0.7110
Ac4 Ac 0.8899 0.8899 0.8899
Zn1 Zn 0.4277 0.4277 0.4277
Zn2 Zn 0.5723 0.5723 0.5723
Tc1 Tc 0.0000 0.0000 0.0000
Tc2 Tc 0.5000 0.5000 0.5000
Ge1 Ge 0.0647 0.6693 0.6693
Ge2 Ge 0.2314 0.2314 0.6498
Ge3 Ge 0.2314 0.6498 0.2314
Ge4 Ge 0.3307 0.3307 0.9353
Ge5 Ge 0.3307 0.9353 0.3307
Ge6 Ge 0.3502 0.7686 0.7686
Ge7 Ge 0.6498 0.2314 0.2314
Ge8 Ge 0.6693 0.0647 0.6693
Ge9 Ge 0.6693 0.6693 0.0647
Ge10 Ge 0.7686 0.3502 0.7686
Ge11 Ge 0.7686 0.7686 0.3502
Ge12 Ge 0.9353 0.3307 0.3307
```

Computed properties:
Formation energy from the elements   -314 meV/atom
Calculated density   7.935 g cm⁻³
DOS(E_F)   9.98 states/eV/cell
Magnetic moment   0.0000 μB per atom


[2]
## CaAc2Zn2 (PBE)

Data for a relaxed structure of CaAc2Zn2.

```
data_CaAc2Zn2
_cell_length_a 5.0150
_cell_length_b 4.8415
_cell_length_c 13.8005
_cell_angle_alpha 90.00
_cell_angle_beta 100.24
_cell_angle_gamma 90.00
_space_group_name_H-M_alt 'P 1'
_space_group_IT_number 1
_space_group_name_Hall 'P 1'
loop_
_atom_site_label
_atom_site_type_symbol
_atom_site_fract_x
_atom_site_fract_y
_atom_site_fract_z
Ca1 Ca 0.1368 0.2500 0.2733
Ca2 Ca 0.8632 0.7500 0.7267
Ac1 Ac 0.2491 0.7500 0.4973
Ac2 Ac 0.4426 0.2500 0.8868
Ac3 Ac 0.5574 0.7500 0.1132
Ac4 Ac 0.7509 0.2500 0.5027
Zn1 Zn 0.0201 0.2500 0.0433
Zn2 Zn 0.3258 0.2500 0.6552
Zn3 Zn 0.6742 0.7500 0.3448
Zn4 Zn 0.9799 0.7500 0.9567
```

Computed properties:
Formation energy from the elements   -78 meV/atom
Calculated density   6.294 g cm⁻³
DOS(E_F)   9.31 states/eV/cell
Magnetic moment   0.0000 μB per atom


[3]
## B2C (PBE)

Data for a relaxed structure of B2C.

```
data_B2C
_cell_length_a 5.6514
_cell_length_b 5.6514
_cell_length_c 4.0465
_cell_angle_alpha 100.43
_cell_angle_beta 100.43
_cell_angle_gamma 125.16
_space_group_name_H-M_alt 'P 1'
_space_group_IT_number 1
_space_group_name_Hall 'P 1'
loop_
_atom_site_label
_atom_site_type_symbol
_atom_site_fract_x
_atom_site_fract_y
_atom_site_fract_z
B1 B 0.0102 0.6230 0.1747
B2 B 0.1754 0.1866 0.3557
B3 B 0.1866 0.1754 0.8557
B4 B 0.3770 0.9898 0.3253
B5 B 0.6230 0.0102 0.6747
B6 B 0.8134 0.8246 0.1443
B7 B 0.8246 0.8134 0.6443
B8 B 0.9898 0.3770 0.8253
C1 C 0.2481 0.4419 0.6849
C2 C 0.4419 0.2481 0.1849
C3 C 0.5581 0.7519 0.8151
C4 C 0.7519 0.5581 0.3151
```

Computed properties:
Formation energy from the elements   449 meV/atom
Calculated density   2.299 g cm⁻³
DOS(E_F)   1.98 states/eV/cell
Magnetic moment   0.0000 μB per atom


[4]
## K6Rb2Au (PBE)

Data for a relaxed structure of K6Rb2Au.

```
data_K6Rb2Au
_cell_length_a 9.4919
_cell_length_b 9.4919
_cell_length_c 9.4943
_cell_angle_alpha 120.00
_cell_angle_beta 120.00
_cell_angle_gamma 60.02
_space_group_name_H-M_alt 'P 1'
_space_group_IT_number 1
_space_group_name_Hall 'P 1'
loop_
_atom_site_label
_atom_site_type_symbol
_atom_site_fract_x
_atom_site_fract_y
_atom_site_fract_z
K1 K 0.2490 0.2490 0.2495
K2 K 0.2487 0.7510 0.2487
K3 K 0.2490 0.7513 0.7513
K4 K 0.7510 0.2487 0.2487
K5 K 0.7513 0.2490 0.7513
K6 K 0.7510 0.7510 0.7505
Rb1 Rb 0.2500 0.2500 0.7503
Rb2 Rb 0.7500 0.7500 0.2497
Au1 Au 0.0000 0.0000 0.0000
```

Computed properties:
Formation energy from the elements   -68 meV/atom
Calculated density   1.654 g cm⁻³
DOS(E_F)   6.89 states/eV/cell
Magnetic moment   0.0000 μB per atom


[5]
## Hg4Pb4Au (PBE)

Data for a relaxed structure of Hg4Pb4Au.

```
data_Hg4Pb4Au
_cell_length_a 8.4658
_cell_length_b 8.4658
_cell_length_c 8.4658
_cell_angle_alpha 92.55
_cell_angle_beta 92.55
_cell_angle_gamma 155.64
_space_group_name_H-M_alt 'P 1'
_space_group_IT_number 1
_space_group_name_Hall 'P 1'
loop_
_atom_site_label
_atom_site_type_symbol
_atom_site_fract_x
_atom_site_fract_y
_atom_site_fract_z
Hg1 Hg 0.0036 0.6595 0.6630
Hg2 Hg 0.3405 0.0036 0.3441
Hg3 Hg 0.6595 0.9964 0.6559
Hg4 Hg 0.9964 0.3405 0.3370
Pb1 Pb 0.3428 0.6543 0.9971
Pb2 Pb 0.3457 0.3428 0.6885
Pb3 Pb 0.6543 0.6572 0.3115
Pb4 Pb 0.6572 0.3457 0.0029
Au1 Au 0.0000 0.0000 0.0000
```

Computed properties:
Formation energy from the elements   20 meV/atom
Calculated density   12.410 g cm⁻³
DOS(E_F)   4.07 states/eV/cell
Magnetic moment   0.0000 μB per atom


[6]
## FeCuAuN (PBE)

Data for a relaxed structure of FeCuAuN.

```
data_FeCuAuN
_cell_length_a 2.9460
_cell_length_b 2.9480
_cell_length_c 7.0229
_cell_angle_alpha 78.18
_cell_angle_beta 77.97
_cell_angle_gamma 60.06
_space_group_name_H-M_alt 'P 1'
_space_group_IT_number 1
_space_group_name_Hall 'P 1'
loop_
_atom_site_label
_atom_site_type_symbol
_atom_site_fract_x
_atom_site_fract_y
_atom_site_fract_z
Fe1 Fe 0.0000 0.0000 0.0000
Cu1 Cu 0.2132 0.2116 0.3529
Au1 Au 0.7795 0.7779 0.6597
N1 N 0.3088 0.3109 0.0725
```

Computed properties:
Calculated density   10.688 g cm⁻³
DOS(E_F)   2.88 states/eV/cell
Magnetic moment   0.0000 μB per atom
ΔE_f (raw)   0.08 eV per atom


[7]
## TbErSiNi (PBE)

Data for a relaxed structure of TbErSiNi.

```
data_TbErSiNi
_cell_length_a 6.8916
_cell_length_b 6.8916
_cell_length_c 6.8916
_cell_angle_alpha 90.00
_cell_angle_beta 90.00
_cell_angle_gamma 90.00
_space_group_name_H-M_alt 'P 1'
_space_group_IT_number 1
_space_group_name_Hall 'P 1'
loop_
_atom_site_label
_atom_site_type_symbol
_atom_site_fract_x
_atom_site_fract_y
_atom_site_fract_z
Tb1 Tb 0.0000 0.0000 0.0000
Tb2 Tb 0.0000 0.5000 0.5000
Tb3 Tb 0.5000 0.0000 0.5000
Tb4 Tb 0.5000 0.5000 0.0000
Er1 Er 0.0000 0.0000 0.5000
Er2 Er 0.0000 0.5000 0.0000
Er3 Er 0.5000 0.0000 0.0000
Er4 Er 0.5000 0.5000 0.5000
Si1 Si 0.2500 0.2500 0.2500
Si2 Si 0.2500 0.7500 0.7500
Si3 Si 0.7500 0.2500 0.7500
Si4 Si 0.7500 0.7500 0.2500
Ni1 Ni 0.2500 0.2500 0.7500
Ni2 Ni 0.2500 0.7500 0.2500
Ni3 Ni 0.7500 0.2500 0.2500
Ni4 Ni 0.7500 0.7500 0.7500
```

Computed properties:
Calculated density   8.380 g cm⁻³
DOS(E_F)   6.18 states/eV/cell
Magnetic moment   0.0000 μB per atom
ΔE_f (raw)   -0.48 eV per atom


[8]
## Na4Nd3GaSe8 (PBE)

Data for a relaxed structure of Na4Nd3GaSe8.

```
data_Na4Nd3GaSe8
_cell_length_a 8.3997
_cell_length_b 8.3997
_cell_length_c 8.5519
_cell_angle_alpha 119.57
_cell_angle_beta 119.57
_cell_angle_gamma 59.70
_space_group_name_H-M_alt 'P 1'
_space_group_IT_number 1
_space_group_name_Hall 'P 1'
loop_
_atom_site_label
_atom_site_type_symbol
_atom_site_fract_x
_atom_site_fract_y
_atom_site_fract_z
Na1 Na 0.0000 0.0000 0.0000
Na2 Na 0.0000 0.5000 0.0000
Na3 Na 0.5000 0.0000 0.0000
Na4 Na 0.5000 0.5000 0.0000
Nd1 Nd 0.0000 0.0000 0.5000
Nd2 Nd 0.0000 0.5000 0.5000
Nd3 Nd 0.5000 0.0000 0.5000
Ga1 Ga 0.5000 0.5000 0.5000
Se1 Se 0.2455 0.2455 0.7382
Se2 Se 0.2579 0.2579 0.2635
Se3 Se 0.2712 0.7256 0.7229
Se4 Se 0.2744 0.7288 0.2771
Se5 Se 0.7256 0.2712 0.7229
Se6 Se 0.7288 0.2744 0.2771
Se7 Se 0.7421 0.7421 0.7365
Se8 Se 0.7545 0.7545 0.2618
```

Computed properties:
Calculated density   4.752 g cm⁻³
DOS(E_F)   2.55 states/eV/cell
Magnetic moment   0.0000 μB per atom
ΔE_f (raw)   -1.39 eV per atom


[9]
## Tl3TcCl2F6 (PBE)

Data for a relaxed structure of Tl3TcCl2F6.

```
data_Tl3TcCl2F6
_cell_length_a 8.5938
_cell_length_b 8.5938
_cell_length_c 4.8002
_cell_angle_alpha 90.34
_cell_angle_beta 90.34
_cell_angle_gamma 53.07
_space_group_name_H-M_alt 'P 1'
_space_group_IT_number 1
_space_group_name_Hall 'P 1'
loop_
_atom_site_label
_atom_site_type_symbol
_atom_site_fract_x
_atom_site_fract_y
_atom_site_fract_z
Tl1 Tl 0.0000 0.0000 0.0000
Tl2 Tl 0.0000 0.5000 0.5000
Tl3 Tl 0.5000 0.0000 0.5000
Tc1 Tc 0.5000 0.5000 0.5000
Cl1 Cl 0.1998 0.1998 0.9852
Cl2 Cl 0.8002 0.8002 0.0148
F1 F 0.2675 0.6312 0.7237
F2 F 0.3688 0.7325 0.2763
F3 F 0.3931 0.3931 0.2927
F4 F 0.6069 0.6069 0.7073
F5 F 0.6312 0.2675 0.7237
F6 F 0.7325 0.3688 0.2763
```

Computed properties:
Calculated density   5.251 g cm⁻³
DOS(E_F)   9.49 states/eV/cell
Magnetic moment   0.1735 μB per atom
ΔE_f (raw)   -1.70 eV per atom


[10]
## RbMg3Hg3 (PBE)

Data for a relaxed structure of RbMg3Hg3.

```
data_RbMg3Hg3
_cell_length_a 7.8659
_cell_length_b 7.8659
_cell_length_c 7.8659
_cell_angle_alpha 90.00
_cell_angle_beta 90.00
_cell_angle_gamma 90.00
_space_group_name_H-M_alt 'P 1'
_space_group_IT_number 1
_space_group_name_Hall 'P 1'
loop_
_atom_site_label
_atom_site_type_symbol
_atom_site_fract_x
_atom_site_fract_y
_atom_site_fract_z
Rb1 Rb 0.0000 0.0000 0.0000
Rb2 Rb 0.5000 0.5000 0.5000
Mg1 Mg 0.0000 0.2500 0.5000
Mg2 Mg 0.0000 0.7500 0.5000
Mg3 Mg 0.2500 0.5000 0.0000
Mg4 Mg 0.5000 0.0000 0.2500
Mg5 Mg 0.5000 0.0000 0.7500
Mg6 Mg 0.7500 0.5000 0.0000
Hg1 Hg 0.0000 0.5000 0.2500
Hg2 Hg 0.0000 0.5000 0.7500
Hg3 Hg 0.2500 0.0000 0.5000
Hg4 Hg 0.5000 0.2500 0.0000
Hg5 Hg 0.5000 0.7500 0.0000
Hg6 Hg 0.7500 0.0000 0.5000
```

Computed properties:
Formation energy from the elements   -6 meV/atom
Calculated density   5.187 g cm⁻³
DOS(E_F)   6.45 states/eV/cell
Magnetic moment   0.0000 μB per atom


[11]
## CaMg2GaN (PBE)

Data for a relaxed structure of CaMg2GaN.

```
data_CaMg2GaN
_cell_length_a 4.3283
_cell_length_b 4.3283
_cell_length_c 4.8934
_cell_angle_alpha 90.00
_cell_angle_beta 90.00
_cell_angle_gamma 90.00
_space_group_name_H-M_alt 'P 1'
_space_group_IT_number 1
_space_group_name_Hall 'P 1'
loop_
_atom_site_label
_atom_site_type_symbol
_atom_site_fract_x
_atom_site_fract_y
_atom_site_fract_z
Ca1 Ca 0.0000 0.0000 0.0000
Mg1 Mg 0.0000 0.5000 0.5000
Mg2 Mg 0.5000 0.0000 0.5000
Ga1 Ga 0.5000 0.5000 0.0000
N1 N 0.0000 0.0000 0.5000
```

Computed properties:
Calculated density   3.123 g cm⁻³
DOS(E_F)   3.50 states/eV/cell
Magnetic moment   0.0001 μB per atom
ΔE_f (raw)   -0.43 eV per atom


[12]
## YHo7Er3 (PBE)

Data for a relaxed structure of YHo7Er3.

```
data_YHo7Er3
_cell_length_a 6.9403
_cell_length_b 5.4803
_cell_length_c 9.7990
_cell_angle_alpha 90.00
_cell_angle_beta 110.07
_cell_angle_gamma 90.00
_space_group_name_H-M_alt 'P 1'
_space_group_IT_number 1
_space_group_name_Hall 'P 1'
loop_
_atom_site_label
_atom_site_type_symbol
_atom_site_fract_x
_atom_site_fract_y
_atom_site_fract_z
Y1 Y 0.0000 0.0000 0.0000
Ho1 Ho 0.0000 0.0000 0.5000
Ho2 Ho 0.1478 0.5000 0.7909
Ho3 Ho 0.3221 0.5000 0.1419
Ho4 Ho 0.4210 0.0000 0.3310
Ho5 Ho 0.5790 0.0000 0.6690
Ho6 Ho 0.6779 0.5000 0.8581
Ho7 Ho 0.8522 0.5000 0.2091
Er1 Er 0.2789 0.5000 0.4975
Er2 Er 0.5000 0.0000 0.0000
Er3 Er 0.7211 0.5000 0.5025
```

Computed properties:
Formation energy from the elements   149 meV/atom
Calculated density   8.278 g cm⁻³
DOS(E_F)   18.12 states/eV/cell
Magnetic moment   0.0000 μB per atom


Which formula does entry 1 have? Ac2ZnTcGe6


Number 7 is which compound? TbErSiNi


Which formula does entry 9 have? Tl3TcCl2F6


The highest calculated density belongs to which entry? Hg4Pb4Au